Entry 1:
Below is a relaxed structure of TlHg3, with properties calculated at the PBE level.

Cell: 3.4502 5.8078 6.1055 Å, 110.88 91.78 90.21°
Fractional coordinates of all 4 atoms:
Tl 0.0000 0.0000 0.0000
Hg 0.0015 0.4974 0.5014
Hg 0.4997 0.5000 0.0010
Hg 0.5013 0.9973 0.4997

density of states at the Fermi level: 0.261 states/eV per atom
symmetry: P1 (1)
calculated formation energy: -0.02 eV/atom

---

Entry 2:
Below is a relaxed structure of La2TbPm4Pr, with properties calculated at the PBE level.

Cell: 5.1885 5.2043 10.3946 Å, 90.00 90.11 90.00°
Fractional coordinates of all 8 atoms:
La 0.0000 0.0000 0.0000
La 0.5000 0.5000 0.5000
Tb 0.0000 0.0000 0.5000
Pm 0.0001 0.5000 0.2520
Pm 0.9999 0.5000 0.7480
Pm 0.4994 0.0000 0.7476
Pm 0.5006 0.0000 0.2524
Pr 0.5000 0.5000 0.0000

density of states at the Fermi level: 1.664 states/eV per atom
symmetry: P2/m (10)
calculated formation energy: 0.02 eV/atom

---

Entry 3:
Below is a relaxed structure of LiY2Se3, with properties calculated at the PBE level.

Cell: 7.0102 7.0102 7.0102 Å, 146.55 131.62 60.10°
Fractional coordinates of all 6 atoms:
Li 0.0000 0.0000 0.0000
Y 0.3335 0.3335 0.0000
Y 0.6665 0.6665 0.0000
Se 0.1608 0.6607 0.5000
Se 0.5000 0.0000 0.5000
Se 0.8392 0.3392 0.5000

raw formation energy: -1.737 eV/atom
density of states at the Fermi level: 0.304 states/eV per atom
symmetry: Immm (71)

---

| no. | total moment (μB per cell) |
| --- | --- |
| 1 | 0.00 |
| 2 | 0.00 |
| 3 | 0.00 |